# Na3Tb3CrO8

A geometry-optimized Na3Tb3CrO8 structure (PBE with a Hubbard U, Alexandria via LeMat-Bulk).

Geometry as CIF:
```
data_Na3Tb3CrO8
_chemical_formula_sum 'Na6 Tb6 Cr2 O16'
_space_group_name_H-M_alt 'C 1 2/m 1'
_space_group_IT_number 12
_cell_length_a 11.577
_cell_length_b 6.687
_cell_length_c 6.759
_cell_angle_alpha 90.00
_cell_angle_beta 124.87
_cell_angle_gamma 90.00
loop_
_space_group_symop_operation_xyz
'x,y,z'
'-x,-y,-z'
'-x,y,-z'
'x,-y,z'
'x+1/2,y+1/2,z'
'-x+1/2,-y+1/2,-z'
'-x+1/2,y+1/2,-z'
'x+1/2,-y+1/2,z'
loop_
_atom_site_label
_atom_site_fract_x
_atom_site_fract_y
_atom_site_fract_z
Na1 0.000 0.000 0.000
Na2 0.250 0.250 0.000
Tb1 0.000 0.500 0.500
Tb2 0.250 0.250 0.500
Cr1 0.000 0.000 0.500
O1 0.009 0.221 0.305
O2 0.212 0.000 0.694
O3 0.238 0.500 0.713
```

Calculated values
Volume = 429 Å³/cell
Electronic total energy = -6.852 eV/atom
Calculated density = 5.61 g cm⁻³